A geometry-optimized CrSbSeN2 structure. Source: Alexandria via LeMat-Bulk, functional PBE.

Properties
For the polymorph energy (0 for the lowest one), the calculation gives 0.0 meV/atom. The calculation puts the total energy at -30.7 eV per cell. Its symmetry is No. 123. The calculated density comes out at 6.24 g/cm³. The density of states at the Fermi level is 4.25 states/eV/f.u. Its uncorrected formation energy is 61.83 kJ per mole of atoms.

abc: 3.848 3.848 5.048
angles: 90.00 90.00 90.00
Fractional positions:
Sb (0.500, 0.500, 0.500)
Se (0.000, 0.000, 0.500)
N (0.500, 0.000, 0.000)
N (0.000, 0.500, 0.000)
Cr (0.000, 0.000, 0.000)